[1]
TmGePt3 | Alexandria via LeMat-Bulk | PBE | optimized geometry; energy above the most stable polymorph in this dataset = 0.00 eV/f.u.; V = 18.8 Å³/atom; SG = Pmn2_1
1.0
7.2201 -0.0001 0.0000
0.0000 4.5863 0.0000
-0.0001 0.0000 5.6696
Pt Ge Tm
6 2 2
direct
0.5036 0.3174 0.7992
0.1728 0.5570 0.0562
0.6729 0.7957 0.0422
0.1729 0.5570 0.5422
0.6728 0.7958 0.5562
0.0036 0.0354 0.2992
0.8659 0.5081 0.2993
0.3659 0.8447 0.7993
0.4066 0.1516 0.2992
0.9066 0.2011 0.7992

***

[2]
Tm2GePt9 | Alexandria via LeMat-Bulk | PBE | optimized geometry; DFT total energy = -6.47 eV/atom; V = 16.6 Å³/atom; SG = P4/mmm
1.0
4.0586 0.0000 0.0000
0.0000 4.0586 0.0000
0.0000 0.0000 12.1161
Pt Tm Ge
9 2 1
direct
0.5000 0.0000 0.8419
0.5000 0.0000 0.1581
0.5000 0.5000 0.3276
0.0000 0.5000 0.1581
0.5000 0.5000 0.6724
0.5000 0.0000 0.5000
0.5000 0.5000 0.0000
0.0000 0.5000 0.8419
0.0000 0.5000 0.5000
0.0000 0.0000 0.6682
0.0000 0.0000 0.3318
0.0000 0.0000 0.0000

***

[3]
Tm2Ge3Pt9 | Alexandria via LeMat-Bulk | PBE | optimized geometry; DFT total energy = -6.32 eV/atom; V = 17.0 Å³/atom; SG = C2/c
1.0
7.7876 0.0033 0.0103
3.8598 6.7638 0.0103
3.8985 2.2650 9.0312
Pt Tm Ge
18 4 6
direct
0.3064 0.1408 0.0802
0.5220 0.3595 0.4238
0.9733 0.7936 0.0816
0.0267 0.2064 0.9184
0.1344 0.8656 0.2500
0.7006 0.0869 0.2430
0.6936 0.8592 0.9198
0.8656 0.1344 0.7500
0.3595 0.5220 0.9238
0.1408 0.3064 0.5802
0.7936 0.9733 0.5816
0.0869 0.7006 0.7430
0.2994 0.9131 0.7570
0.6405 0.4780 0.0762
0.4780 0.6405 0.5762
0.8592 0.6936 0.4198
0.2064 0.0267 0.4184
0.9131 0.2994 0.2570
0.7530 0.5833 0.7487
0.2470 0.4167 0.2513
0.4167 0.2470 0.7513
0.5833 0.7530 0.2487
0.5000 0.0000 0.5000
0.0000 0.5000 0.0000
0.1802 0.6411 0.4974
0.6411 0.1802 0.9974
0.8198 0.3589 0.5026
0.3589 0.8198 0.0026

***

[4]
TmGe12Pt4 | Alexandria via LeMat-Bulk | PBE | optimized geometry; DFT total energy = -5.27 eV/atom; V = 19.4 Å³/atom; SG = Im-3
1.0
-1.3493 1.5812 -7.2456
-3.6853 -6.2865 1.9283
-2.3656 5.7193 4.3027
Pt Tm Ge
4 1 12
direct
0.0000 0.5000 0.0000
0.0000 0.0000 0.5000
0.5000 0.5000 0.5000
0.5000 0.0000 0.0000
0.0000 0.0000 0.0000
0.1493 0.6473 0.7966
0.8507 0.6473 0.4980
0.1493 0.3527 0.5020
0.3527 0.2034 0.8507
0.6473 0.4980 0.8507
0.5020 0.1493 0.3527
0.8507 0.3527 0.2034
0.7966 0.1493 0.6473
0.2034 0.8507 0.3527
0.3527 0.5020 0.1493
0.6473 0.7966 0.1493
0.4980 0.8507 0.6473

***

[5]
TmGePt3 | Alexandria via LeMat-Bulk | PBE | optimized geometry; energy above the most stable polymorph in this dataset = 0.94 eV/f.u.; V = 20.1 Å³/atom; SG = Cmcm
1.0
6.6047 -0.7012 0.0000
-0.6518 6.6098 0.0000
0.0000 0.0000 9.3136
Tm Ge Pt
4 4 12
direct
0.0106 0.0106 0.7500
0.4132 0.4132 0.2500
0.5868 0.5868 0.7500
0.9894 0.9894 0.2500
0.5000 0.0000 0.5000
0.0000 0.5000 0.0000
0.0000 0.5000 0.5000
0.5000 0.0000 0.0000
0.1943 0.1943 0.0060
0.4572 0.1341 0.7500
0.3630 0.6370 0.0000
0.6370 0.3630 0.5000
0.1341 0.4572 0.7500
0.3630 0.6370 0.5000
0.8659 0.5428 0.2500
0.6370 0.3630 0.0000
0.8057 0.8057 0.9940
0.5428 0.8659 0.2500
0.8057 0.8057 0.5060
0.1943 0.1943 0.4940

***

[6]
Tm3Ge3Pt | Alexandria via LeMat-Bulk | PBE | optimized geometry; DFT total energy = -5.72 eV/atom; V = 20.8 Å³/atom; SG = C2/m
1.0
4.2190 0.0000 0.6355
2.0783 5.2340 0.5251
0.1679 0.0929 13.2073
Tm Pt Ge
6 2 6
direct
0.3988 0.2786 0.9239
0.7413 0.7444 0.7730
0.6012 0.7214 0.0761
0.5307 0.3158 0.6227
0.4693 0.6842 0.3773
0.2587 0.2556 0.2270
0.2471 0.8924 0.6134
0.7529 0.1076 0.3866
0.8766 0.1724 0.0743
0.8675 0.7261 0.5390
0.1234 0.8276 0.9257
0.1325 0.2739 0.4610
0.9742 0.8230 0.2285
0.0258 0.1770 0.7715

***

[7]
TmGePt | Alexandria via LeMat-Bulk | PBE | optimized geometry; DFT total energy = -5.74 eV/atom; V = 20.2 Å³/atom; SG = I4mm
1.0
-1.4288 -1.2189 3.2705
2.9220 -2.3505 0.4006
1.4139 4.8243 0.2412
Pt Ge Tm
1 1 1
direct
0.2671 0.2671 0.5342
0.9549 0.9549 0.9098
0.6280 0.6280 0.2560

***

[8]
YTmGePt | Alexandria via LeMat-Bulk | PBE | optimized geometry; energy above the most stable polymorph in this dataset = 0.51 eV/f.u.; V = 21.8 Å³/atom; SG = F-43m
1.0
-0.4052 4.9486 0.3958
-4.4156 2.0630 1.0276
-0.7989 2.0851 4.4523
Tm Ge Y Pt
1 1 1 1
direct
0.0000 0.0000 0.0000
0.2500 0.2500 0.2500
0.5000 0.5000 0.5000
0.7500 0.7500 0.7500

***

[9]
YTmGePt | Alexandria via LeMat-Bulk | PBE | optimized geometry; energy above the most stable polymorph in this dataset = 0.00 eV/f.u.; V = 22.4 Å³/atom; SG = Amm2
1.0
3.8859 0.0000 0.0000
0.0000 4.2833 0.0000
-1.9430 0.0000 5.3830
Tm Pt Y Ge
1 1 1 1
direct
0.1401 0.0000 0.2802
0.4172 0.0000 0.8344
0.8600 0.5000 0.7200
0.5827 0.5000 0.1654

***

[10]
Y2TmGe3Pt4 | Alexandria via LeMat-Bulk | PBE | optimized geometry; DFT total energy = -6.50 eV/atom; V = 20.0 Å³/atom; SG = P-4m2
1.0
4.1921 0.0000 0.0000
0.0000 4.1921 0.0000
0.0000 0.0000 11.3644
Pt Ge Y Tm
4 3 2 1
direct
0.5000 0.5000 0.0000
0.5000 0.0000 0.6565
0.0000 0.5000 0.3435
0.0000 0.0000 0.0000
0.0000 0.5000 0.1288
0.0000 0.0000 0.5000
0.5000 0.0000 0.8712
0.5000 0.0000 0.2213
0.0000 0.5000 0.7787
0.5000 0.5000 0.5000

***

[11]
Tm2ZnGe4Pt3 | Alexandria via LeMat-Bulk | PBE | optimized geometry; DFT total energy = -5.44 eV/atom; V = 18.4 Å³/atom; SG = P-4m2
1.0
4.0690 0.0000 0.0000
0.0000 4.0690 0.0000
0.0000 0.0000 11.1205
Pt Tm Ge Zn
3 2 4 1
direct
0.5000 0.0000 0.8601
0.0000 0.5000 0.1399
0.0000 0.0000 0.5000
0.0000 0.5000 0.7379
0.5000 0.0000 0.2621
0.5000 0.0000 0.6411
0.5000 0.5000 0.0000
0.0000 0.0000 0.0000
0.0000 0.5000 0.3589
0.5000 0.5000 0.5000

***

[12]
UGePt | Alexandria via LeMat-Bulk | PBE | optimized geometry; DFT total energy = -7.95 eV/atom; V = 19.6 Å³/atom; SG = Imm2
1.0
-1.2177 3.9348 1.5232
-4.5533 2.0490 -2.6024
-3.3309 -0.3328 4.5275
Pt Ge U
2 2 2
direct
0.7875 0.1920 0.2329
0.2125 0.7671 0.8079
0.2788 0.0309 0.4114
0.7212 0.5886 0.9691
0.0000 0.6177 0.3823
0.5000 0.1831 0.8169